Crystalline LaTbPr3Er at its relaxed geometry. Source: the Alexandria database, functional PBE.

```
LaTbPr3Er
1.0
5.207 0.000 0.000
0.000 8.115 -0.770
0.000 -3.888 10.256
La Pr Tb Er
2 6 2 2
Direct
0.750 0.879 0.708
0.250 0.121 0.292
0.250 0.130 0.958
0.250 0.622 0.793
0.750 0.870 0.042
0.750 0.378 0.207
0.250 0.628 0.456
0.750 0.372 0.544
0.750 0.873 0.373
0.250 0.127 0.627
0.250 0.622 0.124
0.750 0.378 0.876
```

Crystal system   monoclinic
E_form   0.0252 eV/atom